First-principles (GGA-PBE) data for a relaxed structure of Na2RuAuI, as listed in the Alexandria database.

Computed properties:
The symmetry is P4/mmm (123). For the total energy, the calculation gives -12.25 eV per formula unit.

Lattice parameters (Å, degrees): 5.584 5.496 5.584 90.00 90.00 90.00
Last column: magnetic moment on the atom in μB.
Fractional positions:
I (0.000, 0.500, 0.000)  0.05
Ru (0.500, 0.500, 0.500)  2.56
Au (0.000, 0.000, 0.000)  -0.01
Na (0.000, 0.000, 0.500)  -0.01
Na (0.500, 0.000, 0.000)  -0.01